(1)
K2SrTeO4 | Alexandria via LeMat-Bulk | PBE | optimized geometry; SG = I2_12_12_1 (24); formation energy without anion corrections = -1.73 eV per atom; total magnetization = 0.0 μB per cell
1.0
7.387 0.199 0.155
0.194 7.387 0.154
-3.639 -3.642 5.207
K Sr Te O
4 2 2 8
Cartesian
3.704 0.110 0.093
2.058 5.655 2.820
-1.676 -1.678 2.401
3.648 3.650 0.357
3.810 0.218 5.391
-1.689 1.907 2.728
1.817 1.819 2.977
-3.485 -3.488 4.987
-2.006 2.145 5.198
3.572 0.534 2.921
0.335 3.375 2.645
5.982 1.835 0.268
1.888 1.844 4.920
4.070 4.028 3.353
0.420 0.467 2.930
-2.134 -2.090 5.034

(2)
KSrTeO4 | Alexandria via LeMat-Bulk | PBE | optimized geometry; SG = Imma (74); formation energy without anion corrections = -1.62 eV per atom; total magnetization = 1.5 μB per cell
1.0
-4.220 -3.996 3.607
0.795 -7.024 -0.367
2.483 -3.274 5.764
K Sr Te O
2 2 2 8
Cartesian
-0.869 -3.635 4.685
1.241 -1.637 2.882
0.000 0.000 0.000
1.639 -5.149 2.699
-1.849 -7.281 2.741
0.907 -7.013 6.263
-0.577 -10.621 7.015
1.410 -8.519 5.183
-2.353 -5.775 3.821
-0.366 -3.674 1.988
0.009 -6.995 2.054
-2.059 -8.954 3.822
1.117 -5.341 5.182
-0.952 -7.300 6.950

(3)
K4SrTe3O12 | Alexandria via LeMat-Bulk | PBE | optimized geometry; SG = Im-3m (229); formation energy without anion corrections = -1.42 eV per atom; total magnetization = 0.0 μB per cell
1.0
7.216 0.000 0.000
-2.405 6.803 0.000
-2.405 -3.402 5.892
K Sr Te O
4 1 3 12
Cartesian
1.203 1.701 2.946
-1.203 -1.701 2.946
3.608 0.000 0.000
-1.203 3.402 0.000
0.000 0.000 0.000
2.405 -1.701 2.946
2.405 3.402 0.000
-2.405 1.701 2.946
-1.203 0.850 4.419
3.468 -2.452 4.247
1.343 -0.949 1.644
3.608 2.551 1.473
3.468 4.904 0.000
1.343 1.899 0.000
3.608 0.000 2.946
-1.203 3.402 2.946
1.203 -0.850 4.419
-3.468 2.452 4.247
1.203 4.252 1.473
-1.343 0.949 1.644

(4)
KSr2TeO6 | Alexandria via LeMat-Bulk | PBE | optimized geometry; SG = P2_1/c (14); formation energy without anion corrections = -1.91 eV per atom; total magnetization = 2.2 μB per cell
1.0
-1.156 -5.162 -2.786
3.954 1.644 -4.687
6.459 -3.952 4.063
K Sr Te O
2 4 2 12
Cartesian
-0.578 -2.581 -1.393
5.206 -1.154 -0.312
5.448 0.423 -3.416
6.526 -4.788 -0.912
3.809 -7.893 0.006
2.731 -2.682 -2.498
2.652 -4.557 0.638
1.977 0.822 -2.344
2.544 -0.452 -3.697
5.899 -4.716 -3.892
6.713 -7.018 0.287
3.358 -2.754 0.482
5.204 -2.203 -2.866
7.824 -6.773 -2.190
4.053 -5.267 -0.544
1.433 -0.697 -1.220
2.610 -4.371 -4.355
7.729 -3.220 -2.485
6.647 -3.099 0.944
1.528 -4.250 -0.925

The highest formation energy without anion corrections belongs to which entry? K4SrTe3O12

Please write out number 4 again, unchanged.
KSr2TeO6 | Alexandria via LeMat-Bulk | PBE | optimized geometry; SG = P2_1/c (14); formation energy without anion corrections = -1.91 eV per atom; total magnetization = 2.2 μB per cell
1.0
-1.156 -5.162 -2.786
3.954 1.644 -4.687
6.459 -3.952 4.063
K Sr Te O
2 4 2 12
Cartesian
-0.578 -2.581 -1.393
5.206 -1.154 -0.312
5.448 0.423 -3.416
6.526 -4.788 -0.912
3.809 -7.893 0.006
2.731 -2.682 -2.498
2.652 -4.557 0.638
1.977 0.822 -2.344
2.544 -0.452 -3.697
5.899 -4.716 -3.892
6.713 -7.018 0.287
3.358 -2.754 0.482
5.204 -2.203 -2.866
7.824 -6.773 -2.190
4.053 -5.267 -0.544
1.433 -0.697 -1.220
2.610 -4.371 -4.355
7.729 -3.220 -2.485
6.647 -3.099 0.944
1.528 -4.250 -0.925

Look up the formation energy without anion corrections of the third one. -1.42 eV per atom